# 1
The following is a PBE calculation of a relaxed K2Ac4Bi3O2 crystal, from Alexandria via LeMat-Bulk.

a = 14.6740 Å, b = 14.6740 Å, c = 14.6740 Å
α = 159.47°, β = 159.47°, γ = 29.20°
Fractional positions:
K (0.2037, 0.2037, 0.0000)
K (0.7963, 0.7963, 0.0000)
Ac (0.0855, 0.5855, 0.5000)
Ac (0.4145, 0.9145, 0.5000)
Ac (0.5855, 0.0855, 0.5000)
Ac (0.9145, 0.4145, 0.5000)
Bi (0.3342, 0.3342, 0.0000)
Bi (0.5000, 0.5000, 0.0000)
Bi (0.6657, 0.6657, 0.0000)
O (0.0885, 0.0885, 0.0000)
O (0.9115, 0.9115, 0.0000)

Density (g cm⁻³): 7.03
VASP energy (eV per cell): -55.86
Formation energy (no corrections) (eV per atom): -1.425



# 2
The following is a PBE calculation of a relaxed KAc2BiO5 crystal, from Alexandria via LeMat-Bulk.

a = 8.3347 Å, b = 8.3347 Å, c = 8.3347 Å
α = 128.11°, β = 128.11°, γ = 76.44°
Fractional positions:
K (0.2500, 0.2500, 0.0000)
K (0.7500, 0.7500, 0.0000)
Ac (0.1817, 0.6817, 0.8634)
Ac (0.3183, 0.1817, 0.5000)
Ac (0.6817, 0.8183, 0.5000)
Ac (0.8183, 0.3183, 0.1366)
Bi (0.2500, 0.7500, 0.5000)
Bi (0.7500, 0.2500, 0.5000)
O (0.0000, 0.0000, 0.0000)
O (0.0221, 0.2314, 0.5000)
O (0.2314, 0.7314, 0.2093)
O (0.2686, 0.4779, 0.5000)
O (0.4779, 0.9779, 0.2093)
O (0.5000, 0.5000, 0.0000)
O (0.5221, 0.0221, 0.7907)
O (0.7314, 0.5221, 0.5000)
O (0.7686, 0.2686, 0.7907)
O (0.9779, 0.7686, 0.5000)

Density (g cm⁻³): 7.46
VASP energy (eV per cell): -117.22
Formation energy (no corrections) (eV per atom): -2.291



# 3
The following is a PBE calculation of a relaxed K2AcBiO4 crystal, from Alexandria via LeMat-Bulk.

a = 6.4367 Å, b = 3.7574 Å, c = 6.7020 Å
α = 90.00°, β = 108.68°, γ = 90.00°
Fractional positions:
K (0.0000, 0.0000, 0.0000)
K (0.5000, 0.5000, 0.0000)
Ac (0.0000, 0.5000, 0.5000)
Bi (0.5000, 0.0000, 0.5000)
O (0.2399, 0.0000, 0.6981)
O (0.2709, 0.5000, 0.2986)
O (0.7291, 0.5000, 0.7014)
O (0.7601, 0.0000, 0.3019)

Density (g cm⁻³): 6.25
VASP energy (eV per cell): -45.62
Formation energy (no corrections) (eV per atom): -1.950



# 4
The following is a PBE calculation of a relaxed K4AcBi3O12 crystal, from Alexandria via LeMat-Bulk.

a = 7.6452 Å, b = 7.6452 Å, c = 7.6452 Å
α = 109.47°, β = 109.47°, γ = 109.47°
Fractional positions:
K (0.0000, 0.0000, 0.5000)
K (0.0000, 0.5000, 0.0000)
K (0.5000, 0.0000, 0.0000)
K (0.5000, 0.5000, 0.5000)
Ac (0.0000, 0.0000, 0.0000)
Bi (0.0000, 0.5000, 0.5000)
Bi (0.5000, 0.0000, 0.5000)
Bi (0.5000, 0.5000, 0.0000)
O (0.0000, 0.2688, 0.2688)
O (0.0000, 0.7312, 0.7312)
O (0.2500, 0.5000, 0.7500)
O (0.2500, 0.7500, 0.5000)
O (0.2688, 0.0000, 0.2688)
O (0.2688, 0.2688, 0.0000)
O (0.5000, 0.2500, 0.7500)
O (0.5000, 0.7500, 0.2500)
O (0.7312, 0.0000, 0.7312)
O (0.7312, 0.7312, 0.0000)
O (0.7500, 0.2500, 0.5000)
O (0.7500, 0.5000, 0.2500)

Density (g cm⁻³): 5.80
VASP energy (eV per cell): -105.58
Formation energy (no corrections) (eV per atom): -1.297



# 5
The following is a PBE calculation of a relaxed KAcBiO4 crystal, from Alexandria via LeMat-Bulk.

a = 7.3093 Å, b = 7.3093 Å, c = 7.3093 Å
α = 123.19°, β = 116.19°, γ = 90.64°
Fractional positions:
K (0.5000, 0.0000, 0.0000)
K (0.5000, 0.5000, 0.5000)
Ac (0.0000, 0.0000, 0.0000)
Ac (0.5000, 0.0000, 0.5000)
Bi (0.1132, 0.3632, 0.7500)
Bi (0.8868, 0.6368, 0.2500)
O (0.2134, 0.2402, 0.9733)
O (0.2331, 0.7598, 0.4733)
O (0.2389, 0.2264, 0.4876)
O (0.2389, 0.7513, 0.0124)
O (0.7611, 0.2487, 0.9876)
O (0.7611, 0.7736, 0.5124)
O (0.7669, 0.2402, 0.5267)
O (0.7866, 0.7598, 0.0267)

Density (g cm⁻³): 6.48
VASP energy (eV per cell): -83.81
Formation energy (no corrections) (eV per atom): -1.855



# 6
The following is a PBE calculation of a relaxed KAc2BiO6 crystal, from Alexandria via LeMat-Bulk.

a = 6.5319 Å, b = 6.5319 Å, c = 6.5319 Å
α = 57.70°, β = 57.70°, γ = 57.70°
Fractional positions:
K (0.0000, 0.0000, 0.0000)
Ac (0.2264, 0.2264, 0.2264)
Ac (0.7318, 0.7318, 0.7318)
Bi (0.5218, 0.5218, 0.5218)
O (0.1728, 0.4293, 0.7695)
O (0.3585, 0.8790, 0.5930)
O (0.4293, 0.7695, 0.1728)
O (0.5930, 0.3585, 0.8790)
O (0.7695, 0.1728, 0.4293)
O (0.8790, 0.5930, 0.3585)

Density (g cm⁻³): 7.10
VASP energy (eV per cell): -65.33
Formation energy (no corrections) (eV per atom): -2.238



# 7
The following is a PBE calculation of a relaxed K2Ac2BiO6 crystal, from Alexandria via LeMat-Bulk.

a = 6.4811 Å, b = 6.4811 Å, c = 6.7190 Å
α = 97.57°, β = 97.57°, γ = 119.55°
Fractional positions:
K (0.1534, 0.8466, 0.0000)
K (0.8466, 0.1534, 0.0000)
Ac (0.3359, 0.6641, 0.5000)
Ac (0.6641, 0.3359, 0.5000)
Bi (0.0000, 0.0000, 0.5000)
O (0.0398, 0.3623, 0.6786)
O (0.2426, 0.2426, 0.3103)
O (0.3623, 0.0398, 0.6786)
O (0.6377, 0.9602, 0.3214)
O (0.7574, 0.7574, 0.6897)
O (0.9602, 0.6377, 0.3214)

Density (g cm⁻³): 5.87
VASP energy (eV per cell): -67.44
Formation energy (no corrections) (eV per atom): -2.127



# 8
The following is a PBE calculation of a relaxed KAcBiPb crystal, from Alexandria via LeMat-Bulk.

a = 5.9141 Å, b = 5.9141 Å, c = 5.9141 Å
α = 60.00°, β = 60.00°, γ = 60.00°
Fractional positions:
K (0.0000, 0.0000, 0.0000)
Ac (0.5000, 0.5000, 0.5000)
Bi (0.2500, 0.2500, 0.2500)
Pb (0.7500, 0.7500, 0.7500)

Density (g cm⁻³): 7.75
Energy of formation (eV/atom): -0.332
VASP energy (eV per cell): -14.13



| no. | V (A^3/atom) |
| --- | --- |
| 1 | 35.3 |
| 2 | 19.3 |
| 3 | 19.2 |
| 4 | 17.2 |
| 5 | 19.7 |
| 6 | 18.7 |
| 7 | 21.5 |
| 8 | 36.6 |